# Rb3ErV2O8, relaxed, DFT PBE with a Hubbard U
data_Rb3ErV2O8
_chemical_formula_sum 'Rb3 Er1 V2 O8'
_space_group_name_H-M_alt 'P 1'
_space_group_IT_number 1
_cell_length_a 6.057
_cell_length_b 6.057
_cell_length_c 7.992
_cell_angle_alpha 90.00
_cell_angle_beta 90.00
_cell_angle_gamma 120.00
loop_
_space_group_symop_operation_xyz
'x,y,z'
loop_
_atom_site_label
_atom_site_fract_x
_atom_site_fract_y
_atom_site_fract_z
O1 0.174 0.826 0.335
O2 0.826 0.651 0.665
O3 0.333 0.667 0.051
O4 0.826 0.174 0.665
O5 0.651 0.826 0.335
O6 0.174 0.349 0.335
O7 0.349 0.174 0.665
O8 0.667 0.333 0.949
V1 0.333 0.667 0.262
V2 0.667 0.333 0.738
Er1 0.000 0.000 0.500
Rb1 0.333 0.667 0.705
Rb2 0.667 0.333 0.295
Rb3 0.000 0.000 0.000
# Total energy = -94.64 eV/cell
# Total moment = 0.000 μB/cell
# Volume = 18.14 Å³/atom
# Crystal system = trigonal